No. 1
{
  "formula": "LaSb2PtI",
  "functional": "PBE",
  "state": "optimized geometry",
  "lattice": [[5.289, 0.000, 0.000], [0.000, 5.289, 0.000], [0.000, 0.000, 5.500]],
  "species": ["La", "Sb", "Sb", "Pt", "I"],
  "fractional_positions": [[0.000, 0.000, 0.000], [0.000, 0.500, 0.500], [0.500, 0.000, 0.500], [0.500, 0.500, 0.500], [0.500, 0.500, 0.000]],
  "magmom_total_mub_per_fu": 0.00,
  "dos_ef_per_ev_cell": 4.02,
  "space_group": "P4/mmm, No. 123",
  "formation_energy_uncorrected_ev_per_fu": -1.38
}

***

No. 2
{
  "formula": "La8SiPt3I4",
  "functional": "PBE",
  "state": "optimized geometry",
  "lattice": [[7.570, -4.366, 0.000], [7.570, 4.366, 0.000], [-5.048, 0.000, 8.073]],
  "species": ["La", "La", "La", "La", "La", "La", "La", "La", "Si", "Pt", "Pt", "Pt", "I", "I", "I", "I"],
  "fractional_positions": [[0.226, 0.734, 0.694], [0.230, 0.230, 0.690], [0.266, 0.266, 0.306], [0.266, 0.774, 0.306], [0.734, 0.226, 0.694], [0.734, 0.734, 0.694], [0.770, 0.770, 0.310], [0.774, 0.266, 0.306], [0.500, 0.500, 0.500], [0.000, 0.000, 0.500], [0.000, 0.500, 0.500], [0.500, 0.000, 0.500], [0.000, 0.000, 0.000], [0.000, 0.500, 0.000], [0.500, 0.000, 0.000], [0.500, 0.500, 0.000]],
  "magmom_total_mub_per_fu": 0.00,
  "dos_ef_per_ev_cell": 14.26,
  "space_group": "C2/m, No. 12",
  "formation_energy_uncorrected_ev_per_fu": -17.99
}